Compound: Ac4Co3CuO12
Source: the Alexandria database
Functional: PBE with a Hubbard U
Structure: optimized geometry

Lattice parameters (Å, degrees): 7.869 7.869 7.869 90.00 90.00 90.00
Space group Im-3m (No. 229)
Inequivalent atoms, fractional coordinates:
Ac  0.250  0.250  0.250
Co  0.000  0.000  0.500
Cu  0.000  0.000  0.000
O  0.000  0.000  0.253
O  0.000  0.250  0.500

Calculated values
E_tot: -276.2 eV for the cell shown